The following is a DFT calculation (PBE) of crystalline Nd2PuHfP4 at its relaxed geometry.

Unit cell a=3.9883 b=6.8867 c=6.9373 alpha=109.19 beta=90.00 gamma=90.00
Element x y z (fractional)
P 0.0000 0.7335 0.2248
P 0.0000 0.2665 0.7752
P 0.5000 0.7484 0.7715
Hf 0.5000 0.5000 0.0000
Nd 0.5000 0.0000 0.5000
Pu 0.0000 0.0000 0.0000
Nd 0.0000 0.5000 0.5000
P 0.5000 0.2516 0.2285

Computed properties:
Energy of formation (eV per formula unit): -11.01
Space group: P2/m
Crystal system: monoclinic